No. 1
A plane-wave DFT calculation with PBE-GGA was carried out for a relaxed structure of BiPIrSN.

```
BiPIrSN
1.0
1.853 1.070 7.222
-1.853 1.070 7.222
0.000 -2.140 7.222
Bi P Ir S N
1 1 1 1 1
direct
0.000 0.000 0.000 Bi
0.795 0.795 0.795 P
0.507 0.507 0.507 Ir
0.236 0.236 0.236 S
0.715 0.715 0.715 N
```

Energy (eV per cell): -31.37
Calculated volume (Å³/cell): 86
E_form (uncorrected) (eV per atom): -0.15

---

No. 2
A plane-wave DFT calculation with PBE-GGA was carried out for a relaxed structure of Mg3Zr.

```
Mg3Zr
1.0
-1.461 5.278 2.921
1.461 -5.278 2.921
1.461 5.278 -2.921
Mg Zr
3 1
direct
0.000 0.000 0.000 Mg
0.045 0.294 0.752 Mg
0.542 0.294 0.248 Mg
0.500 0.000 0.500 Zr
```

Energy (eV per cell): -13.10
ΔH_f (0 K) (eV/atom): 0.058
Calculated volume (Å³/cell): 90

---

No. 3
A plane-wave DFT calculation with PBE-GGA was carried out for a relaxed structure of Ce3Si2Br2.

```
Ce3Si2Br2
1.0
6.968 -2.102 0.000
6.968 2.102 0.000
-1.474 0.000 7.562
Ce Si Br
3 2 2
direct
0.000 0.000 0.000 Ce
0.237 0.237 0.769 Ce
0.763 0.763 0.231 Ce
0.375 0.375 0.097 Si
0.625 0.625 0.903 Si
0.133 0.133 0.371 Br
0.867 0.867 0.629 Br
```

Energy (eV per cell): -37.92
Calculated volume (Å³/cell): 221
E_form (uncorrected) (eV per atom): -0.85

---

No. 4
A plane-wave DFT calculation with PBE-GGA was carried out for a relaxed structure of Cs12PtO3.

```
Cs12PtO3
1.0
16.577 0.000 0.000
-8.288 14.356 0.000
0.000 0.000 9.353
Cs Pt O
24 2 6
direct
0.015 0.470 0.250 Cs
0.063 0.828 0.750 Cs
0.172 0.235 0.750 Cs
0.222 0.745 0.503 Cs
0.222 0.745 0.997 Cs
0.235 0.063 0.250 Cs
0.255 0.477 0.503 Cs
0.255 0.477 0.997 Cs
0.455 0.985 0.250 Cs
0.470 0.455 0.750 Cs
0.477 0.222 0.003 Cs
0.477 0.222 0.497 Cs
0.523 0.778 0.503 Cs
0.523 0.778 0.997 Cs
0.530 0.545 0.250 Cs
0.545 0.015 0.750 Cs
0.745 0.523 0.003 Cs
0.745 0.523 0.497 Cs
0.765 0.937 0.750 Cs
0.778 0.255 0.003 Cs
0.778 0.255 0.497 Cs
0.828 0.765 0.250 Cs
0.937 0.172 0.250 Cs
0.985 0.530 0.750 Cs
0.333 0.667 0.250 Pt
0.667 0.333 0.750 Pt
0.120 0.703 0.750 O
0.297 0.417 0.750 O
0.417 0.120 0.250 O
0.583 0.880 0.750 O
0.703 0.583 0.250 O
0.880 0.297 0.250 O
```

Energy (eV per cell): -79.30
Calculated volume (Å³/cell): 2226
E_form (uncorrected) (eV per atom): -0.53

---

No. 5
A plane-wave DFT calculation with PBE-GGA was carried out for a relaxed structure of LiVAs.

```
LiVAs
1.0
3.516 0.000 0.000
0.000 7.705 0.000
-0.008 0.000 6.947
Li V As
4 4 4
direct
0.250 0.165 0.041 Li
0.250 0.335 0.541 Li
0.750 0.665 0.459 Li
0.750 0.835 0.959 Li
0.250 0.556 0.114 V
0.250 0.944 0.614 V
0.750 0.056 0.386 V
0.750 0.444 0.886 V
0.250 0.637 0.751 As
0.250 0.863 0.251 As
0.750 0.137 0.749 As
0.750 0.363 0.249 As
```

Energy (eV per cell): -67.86
ΔH_f (0 K) (eV/atom): -0.428
Calculated volume (Å³/cell): 188

---

No. 6
A plane-wave DFT calculation with PBE-GGA was carried out for a relaxed structure of NaDyTm2.

```
NaDyTm2
1.0
3.515 0.000 0.000
0.000 3.515 0.000
0.000 0.000 10.383
Na Dy Tm
1 1 2
direct
0.000 0.000 0.000 Na
0.000 0.000 0.500 Dy
0.500 0.500 0.272 Tm
0.500 0.500 0.728 Tm
```

Energy (eV per cell): -14.28
ΔH_f (0 K) (eV/atom): 0.146
Calculated volume (Å³/cell): 128

---

No. 7
A plane-wave DFT calculation with PBE-GGA was carried out for a relaxed structure of Te3Ir.

```
Te3Ir
1.0
-1.893 5.709 2.736
1.893 -5.709 2.736
1.893 5.709 -2.736
Te Ir
3 1
direct
0.000 0.000 0.000 Te
0.352 0.501 0.851 Te
0.650 0.501 0.149 Te
0.656 0.156 0.500 Ir
```

Energy (eV per cell): -18.28
Calculated volume (Å³/cell): 118
E_form (uncorrected) (eV per atom): 0.00

---

No. 8
A plane-wave DFT calculation with PBE-GGA was carried out for a relaxed structure of HfTiBeNb.

```
HfTiBeNb
1.0
0.000 3.225 3.225
3.225 0.000 3.225
3.225 3.225 0.000
Hf Ti Be Nb
1 1 1 1
direct
0.000 0.000 0.000 Hf
0.500 0.500 0.500 Ti
0.250 0.250 0.250 Be
0.750 0.750 0.750 Nb
```

Energy (eV per cell): -31.17
ΔH_f (0 K) (eV/atom): 0.118
Calculated volume (Å³/cell): 67

---

No. 9
A plane-wave DFT calculation with PBE-GGA was carried out for a relaxed structure of AcVS4.

```
AcVS4
1.0
7.838 0.000 0.000
0.000 9.207 0.000
-5.890 0.000 8.502
Ac V S
4 4 16
direct
0.164 0.166 0.273 Ac
0.164 0.334 0.773 Ac
0.836 0.666 0.227 Ac
0.836 0.834 0.727 Ac
0.314 0.669 0.197 V
0.314 0.831 0.697 V
0.686 0.169 0.303 V
0.686 0.331 0.803 V
0.096 0.651 0.612 S
0.096 0.849 0.112 S
0.203 0.502 0.280 S
0.203 0.998 0.780 S
0.344 0.600 0.015 S
0.344 0.900 0.515 S
0.381 0.237 0.117 S
0.381 0.263 0.617 S
0.619 0.737 0.383 S
0.619 0.763 0.883 S
0.656 0.100 0.485 S
0.656 0.400 0.985 S
0.797 0.002 0.220 S
0.797 0.498 0.720 S
0.904 0.151 0.888 S
0.904 0.349 0.388 S
```

Energy (eV per cell): -150.43
Calculated volume (Å³/cell): 614
E_form (uncorrected) (eV per atom): -1.31

---

No. 10
A plane-wave DFT calculation with PBE-GGA was carried out for a relaxed structure of Sb2Au.

```
Sb2Au
1.0
0.000 3.072 8.046
1.573 0.000 8.046
1.573 3.072 0.000
Sb Au
2 1
direct
0.148 0.148 0.852 Sb
0.852 0.852 0.148 Sb
0.500 0.500 0.500 Au
```

Energy (eV per cell): -11.05
Calculated volume (Å³/cell): 78
E_form (uncorrected) (eV per atom): 0.16

---

No. 11
A plane-wave DFT calculation with PBE-GGA was carried out for a relaxed structure of YTa2In.

```
YTa2In
1.0
4.228 0.000 0.000
0.000 4.228 0.000
0.000 0.000 4.813
Y Ta In
1 2 1
direct
0.000 0.000 0.000 Y
0.000 0.500 0.500 Ta
0.500 0.000 0.500 Ta
0.500 0.500 0.000 In
```

Energy (eV per cell): -31.95
ΔH_f (0 K) (eV/atom): 0.239
Calculated volume (Å³/cell): 86

---

No. 12
A plane-wave DFT calculation with PBE-GGA was carried out for a relaxed structure of TbPrSm4Er2.

```
TbPrSm4Er2
1.0
6.238 -3.598 0.000
6.238 3.598 0.000
-4.163 0.000 11.744
Tb Pr Sm Er
2 2 8 4
direct
0.000 0.500 0.000 Tb
0.500 0.000 0.000 Tb
0.000 0.000 0.000 Pr
0.000 0.000 0.500 Pr
0.250 0.250 0.750 Sm
0.251 0.251 0.252 Sm
0.251 0.748 0.749 Sm
0.252 0.749 0.251 Sm
0.748 0.251 0.749 Sm
0.749 0.252 0.251 Sm
0.749 0.749 0.748 Sm
0.750 0.750 0.250 Sm
0.000 0.500 0.500 Er
0.500 0.000 0.500 Er
0.500 0.500 0.000 Er
0.500 0.500 0.500 Er
```

Energy (eV per cell): -74.57
ΔH_f (0 K) (eV/atom): 0.016
Calculated volume (Å³/cell): 527

---

No. 13
A plane-wave DFT calculation with PBE-GGA was carried out for a relaxed structure of Ta2NbNi.

```
Ta2NbNi
1.0
3.282 0.000 0.000
0.000 3.282 0.000
0.000 0.000 6.114
Ta Nb Ni
2 1 1
direct
0.000 0.000 0.241 Ta
0.000 0.000 0.759 Ta
0.500 0.500 0.500 Nb
0.500 0.500 0.000 Ni
```

Energy (eV per cell): -39.77
ΔH_f (0 K) (eV/atom): -0.053
Calculated volume (Å³/cell): 66

---

No. 14
A plane-wave DFT calculation with PBE-GGA was carried out for a relaxed structure of Tm8CoTe2.

```
Tm8CoTe2
1.0
6.896 -3.433 0.000
6.896 3.433 0.000
-0.607 0.000 6.660
Tm Co Te
8 1 2
direct
0.157 0.678 0.704 Tm
0.162 0.162 0.838 Tm
0.322 0.843 0.296 Tm
0.395 0.395 0.113 Tm
0.605 0.605 0.887 Tm
0.678 0.157 0.704 Tm
0.838 0.838 0.162 Tm
0.843 0.322 0.296 Tm
0.000 0.000 0.000 Co
0.268 0.268 0.434 Te
0.732 0.732 0.566 Te
```

Energy (eV per cell): -53.22
Calculated volume (Å³/cell): 315
E_form (uncorrected) (eV per atom): -0.37

---

No. 15
A plane-wave DFT calculation with PBE-GGA was carried out for a relaxed structure of Ac2ZnCu.

```
Ac2ZnCu
1.0
5.850 0.000 0.000
0.000 4.590 0.000
-1.999 0.000 8.661
Ac Zn Cu
4 2 2
direct
0.219 0.250 0.430 Ac
0.278 0.750 0.077 Ac
0.722 0.250 0.923 Ac
0.781 0.750 0.570 Ac
0.334 0.750 0.725 Zn
0.666 0.250 0.275 Zn
0.166 0.250 0.781 Cu
0.834 0.750 0.219 Cu
```

Energy (eV per cell): -28.59
ΔH_f (0 K) (eV/atom): -0.177
Calculated volume (Å³/cell): 233

---

No. 16
A plane-wave DFT calculation with PBE-GGA was carried out for a relaxed structure of CePmCl5.

```
CePmCl5
1.0
7.453 0.000 0.000
0.000 4.032 0.000
-0.214 0.000 12.879
Ce Pm Cl
2 2 10
direct
0.060 0.250 0.337 Ce
0.940 0.750 0.663 Ce
0.426 0.750 0.156 Pm
0.574 0.250 0.844 Pm
0.051 0.750 0.175 Cl
0.153 0.250 0.566 Cl
0.317 0.250 0.014 Cl
0.337 0.750 0.776 Cl
0.340 0.750 0.368 Cl
0.660 0.250 0.632 Cl
0.663 0.250 0.224 Cl
0.683 0.750 0.986 Cl
0.847 0.750 0.434 Cl
0.949 0.250 0.825 Cl
```

Energy (eV per cell): -70.20
Calculated volume (Å³/cell): 387
E_form (uncorrected) (eV per atom): -2.17

---

No. 17
A plane-wave DFT calculation with PBE-GGA was carried out for a relaxed structure of PuPaAs2O.

```
PuPaAs2O
1.0
3.994 0.000 0.000
0.000 3.994 0.000
0.000 0.000 14.024
Pu Pa As O
2 2 4 2
direct
0.250 0.250 0.084 Pu
0.750 0.750 0.916 Pu
0.250 0.250 0.619 Pa
0.750 0.750 0.381 Pa
0.250 0.250 0.405 As
0.250 0.250 0.812 As
0.750 0.750 0.188 As
0.750 0.750 0.595 As
0.250 0.750 0.000 O
0.750 0.250 0.000 O
```

Energy (eV per cell): -90.91
Calculated volume (Å³/cell): 224
E_form (uncorrected) (eV per atom): -1.47

---

No. 18
A plane-wave DFT calculation with PBE-GGA was carried out for a relaxed structure of RbHfSc.

```
RbHfSc
1.0
6.258 0.000 0.000
-3.129 5.419 0.000
0.000 0.000 10.484
Rb Hf Sc
2 2 2
direct
0.333 0.667 0.250 Rb
0.667 0.333 0.750 Rb
0.000 0.000 0.000 Hf
0.000 0.000 0.500 Hf
0.000 0.000 0.250 Sc
0.000 0.000 0.750 Sc
```

Energy (eV per cell): -21.75
ΔH_f (0 K) (eV/atom): 2.126
Calculated volume (Å³/cell): 356

---

No. 19
A plane-wave DFT calculation with PBE-GGA was carried out for a relaxed structure of MgCdPCl2.

```
MgCdPCl2
1.0
5.103 0.000 0.000
0.000 5.103 0.000
0.000 0.000 5.301
Mg Cd P Cl
1 1 1 2
direct
0.000 0.000 0.000 Mg
0.500 0.500 0.500 Cd
0.500 0.500 0.000 P
0.000 0.500 0.500 Cl
0.500 0.000 0.500 Cl
```

Energy (eV per cell): -11.80
Calculated volume (Å³/cell): 138
E_form (uncorrected) (eV per atom): -0.04

---

No. 20
A plane-wave DFT calculation with PBE-GGA was carried out for a relaxed structure of ZnFe2Si.

```
ZnFe2Si
1.0
2.795 0.000 0.000
0.000 2.795 0.000
0.000 0.000 5.828
Zn Fe Si
1 2 1
direct
0.000 0.000 0.000 Zn
0.500 0.500 0.277 Fe
0.500 0.500 0.723 Fe
0.000 0.000 0.500 Si
```

Energy (eV per cell): -24.31
Calculated volume (Å³/cell): 46
E_form (uncorrected) (eV per atom): -0.17